AcCoPO6: relaxed, PBE with a Hubbard U.

Calculated values
V in Å³/f.u.: 108.5
E in eV per formula unit: -62.78

Unit cell a=4.8364 b=4.8364 c=5.3578 alpha=90.00 beta=90.00 gamma=120.00
Space group P312 (No. 149)
Asymmetric unit:
1 Ac 0.0000 0.0000 0.0000 x1
2 Co 0.3333 0.6667 0.5000 x1
3 P 0.6667 0.3333 0.5000 x1
4 O 0.3999 0.0252 0.6868 x6